# 1
The following is a DFT calculation (SCAN) of a PBEsol-optimized structure of Cr2GaC.

The energy relative to the lowest polymorph listed for this composition comes out at 1.246 eV/atom. The formation energy comes out at 431 kJ/mol of formula units.

The space group is Fm-3m (No. 225) and the conventional cell measures 5.491, 5.491 and 5.491 Å, with angles of 90.00, 90.00 and 90.00 degrees. The inequivalent atoms are Cr at (0.250, 0.250, 0.250), Ga at (0.000, 0.000, 0.000) and C at (0.000, 0.000, 0.500).

=====

# 2
The following is a DFT calculation (SCAN) of a PBEsol-optimized structure of TaAgBr3.

The value obtained for the uncorrected formation energy is 0.7 eV per formula unit.

The space group is Pm-3m (No. 221) and the conventional cell measures 5.062, 5.062 and 5.062 Å, with angles of 90.00, 90.00 and 90.00 degrees. The inequivalent atoms are Ta at (0.000, 0.000, 0.000), Ag at (0.500, 0.500, 0.500) and Br at (0.000, 0.000, 0.500).

=====

no.,raw total energy (eV per cell),N(E_F) (states/eV per atom)
1,-234.988,0.74
2,-155.626,0.81